1.
# Zr4AgRu, relaxed, DFT PBE
# energy relative to the elements: 0.504 eV per atom
# final energy: -7.22 eV per atom
# total magnetic moment: 0.0 μB per formula unit
# SG: F-43m
data_Zr4AgRu
_cell_length_a 5.604
_cell_length_b 5.604
_cell_length_c 5.604
_cell_angle_alpha 60.00
_cell_angle_beta 60.00
_cell_angle_gamma 60.00
_symmetry_space_group_name_H-M 'P 1'
_symmetry_Int_Tables_number 1
loop_
_symmetry_equiv_pos_as_xyz
'x,y,z'
loop_
_atom_site_label
_atom_site_type_symbol
_atom_site_fract_x
_atom_site_fract_y
_atom_site_fract_z
Zr1 Zr 0.377 0.377 0.377
Zr2 Zr 0.377 0.377 0.870
Zr3 Zr 0.377 0.870 0.377
Zr4 Zr 0.870 0.377 0.377
Ag1 Ag 0.000 0.000 0.000
Ru1 Ru 0.750 0.750 0.750


2.
# Zr2Ag2Ru, relaxed, DFT PBE
# energy relative to the elements: 0.835 eV per atom
# final energy: -5.58 eV per atom
# total magnetic moment: 1.9 μB per formula unit
# SG: I4/mmm
# energy above the lowest structure with this stoichiometry: 615 meV/atom
data_Zr2Ag2Ru
_cell_length_a 3.985
_cell_length_b 3.985
_cell_length_c 13.254
_cell_angle_alpha 90.00
_cell_angle_beta 90.00
_cell_angle_gamma 90.00
_symmetry_space_group_name_H-M 'P 1'
_symmetry_Int_Tables_number 1
loop_
_symmetry_equiv_pos_as_xyz
'x,y,z'
loop_
_atom_site_label
_atom_site_type_symbol
_atom_site_fract_x
_atom_site_fract_y
_atom_site_fract_z
Zr1 Zr 0.000 0.500 0.250
Zr2 Zr 0.000 0.500 0.750
Zr3 Zr 0.500 0.000 0.250
Zr4 Zr 0.500 0.000 0.750
Ag1 Ag 0.000 0.000 0.095
Ag2 Ag 0.000 0.000 0.905
Ag3 Ag 0.500 0.500 0.405
Ag4 Ag 0.500 0.500 0.595
Ru1 Ru 0.000 0.000 0.500
Ru2 Ru 0.500 0.500 0.000


3.
# Zr2AgRu, relaxed, DFT PBE
# energy relative to the elements: -0.064 eV per atom
# final energy: -7.37 eV per atom
# total magnetic moment: 0.0 μB per formula unit
# SG: C2/m
data_Zr2AgRu
_cell_length_a 5.796
_cell_length_b 3.371
_cell_length_c 8.542
_cell_angle_alpha 90.00
_cell_angle_beta 103.45
_cell_angle_gamma 90.00
_symmetry_space_group_name_H-M 'P 1'
_symmetry_Int_Tables_number 1
loop_
_symmetry_equiv_pos_as_xyz
'x,y,z'
loop_
_atom_site_label
_atom_site_type_symbol
_atom_site_fract_x
_atom_site_fract_y
_atom_site_fract_z
Zr1 Zr 0.241 0.000 0.223
Zr2 Zr 0.259 0.500 0.777
Zr3 Zr 0.741 0.500 0.223
Zr4 Zr 0.759 0.000 0.777
Ag1 Ag 0.000 0.000 0.500
Ag2 Ag 0.500 0.500 0.500
Ru1 Ru 0.000 0.500 0.000
Ru2 Ru 0.500 0.000 0.000


4.
# ZrAg2Ru, relaxed, DFT PBE
# energy relative to the elements: 0.361 eV per atom
# final energy: -5.52 eV per atom
# total magnetic moment: 0.3 μB per formula unit
# SG: R-3m
# energy above the lowest structure with this stoichiometry: 455 meV/atom
data_ZrAg2Ru
_cell_length_a 2.862
_cell_length_b 2.862
_cell_length_c 29.919
_cell_angle_alpha 90.00
_cell_angle_beta 90.00
_cell_angle_gamma 120.00
_symmetry_space_group_name_H-M 'P 1'
_symmetry_Int_Tables_number 1
loop_
_symmetry_equiv_pos_as_xyz
'x,y,z'
loop_
_atom_site_label
_atom_site_type_symbol
_atom_site_fract_x
_atom_site_fract_y
_atom_site_fract_z
Zr1 Zr 0.000 0.000 0.000
Zr2 Zr 0.333 0.667 0.667
Zr3 Zr 0.667 0.333 0.333
Ag1 Ag 0.000 0.000 0.246
Ag2 Ag 0.000 0.000 0.754
Ag3 Ag 0.333 0.667 0.421
Ag4 Ag 0.333 0.667 0.912
Ag5 Ag 0.667 0.333 0.088
Ag6 Ag 0.667 0.333 0.579
Ru1 Ru 0.000 0.000 0.500
Ru2 Ru 0.333 0.667 0.167
Ru3 Ru 0.667 0.333 0.833


5.
# ZrAg2Ru, relaxed, DFT PBE
# energy relative to the elements: -0.093 eV per atom
# final energy: -5.97 eV per atom
# total magnetic moment: 0.0 μB per formula unit
# SG: P4/mmm
# energy above the lowest structure with this stoichiometry: 1 meV/atom
data_ZrAg2Ru
_cell_length_a 3.878
_cell_length_b 3.878
_cell_length_c 4.617
_cell_angle_alpha 90.00
_cell_angle_beta 90.00
_cell_angle_gamma 90.00
_symmetry_space_group_name_H-M 'P 1'
_symmetry_Int_Tables_number 1
loop_
_symmetry_equiv_pos_as_xyz
'x,y,z'
loop_
_atom_site_label
_atom_site_type_symbol
_atom_site_fract_x
_atom_site_fract_y
_atom_site_fract_z
Zr1 Zr 0.000 0.000 0.000
Ag1 Ag 0.000 0.500 0.500
Ag2 Ag 0.500 0.000 0.500
Ru1 Ru 0.500 0.500 0.000


6.
# ZrAgRu3, relaxed, DFT PBE
# energy relative to the elements: 1.844 eV per atom
# final energy: -6.00 eV per atom
# total magnetic moment: 3.7 μB per formula unit
# SG: Pm-3m
# energy above the lowest structure with this stoichiometry: 231 meV/atom
data_ZrAgRu3
_cell_length_a 4.735
_cell_length_b 4.735
_cell_length_c 4.735
_cell_angle_alpha 90.00
_cell_angle_beta 90.00
_cell_angle_gamma 90.00
_symmetry_space_group_name_H-M 'P 1'
_symmetry_Int_Tables_number 1
loop_
_symmetry_equiv_pos_as_xyz
'x,y,z'
loop_
_atom_site_label
_atom_site_type_symbol
_atom_site_fract_x
_atom_site_fract_y
_atom_site_fract_z
Zr1 Zr 0.000 0.000 0.000
Ag1 Ag 0.500 0.500 0.500
Ru1 Ru 0.000 0.500 0.500
Ru2 Ru 0.500 0.000 0.500
Ru3 Ru 0.500 0.500 0.000


7.
# Zr2Ag2Ru, relaxed, DFT PBE
# energy relative to the elements: 0.219 eV per atom
# final energy: -6.20 eV per atom
# total magnetic moment: 0.0 μB per formula unit
# SG: P4/mbm
# energy above the lowest structure with this stoichiometry: 0 meV/atom
data_Zr2Ag2Ru
_cell_length_a 7.321
_cell_length_b 7.321
_cell_length_c 3.603
_cell_angle_alpha 90.00
_cell_angle_beta 90.00
_cell_angle_gamma 90.00
_symmetry_space_group_name_H-M 'P 1'
_symmetry_Int_Tables_number 1
loop_
_symmetry_equiv_pos_as_xyz
'x,y,z'
loop_
_atom_site_label
_atom_site_type_symbol
_atom_site_fract_x
_atom_site_fract_y
_atom_site_fract_z
Zr1 Zr 0.181 0.319 0.000
Zr2 Zr 0.319 0.819 0.000
Zr3 Zr 0.681 0.181 0.000
Zr4 Zr 0.819 0.681 0.000
Ag1 Ag 0.126 0.626 0.500
Ag2 Ag 0.374 0.126 0.500
Ag3 Ag 0.626 0.874 0.500
Ag4 Ag 0.874 0.374 0.500
Ru1 Ru 0.000 0.000 0.500
Ru2 Ru 0.500 0.500 0.500


8.
# ZrAg2Ru, relaxed, DFT PBE
# energy relative to the elements: 0.366 eV per atom
# final energy: -5.52 eV per atom
# total magnetic moment: 1.7 μB per formula unit
# SG: P4/mmm
# energy above the lowest structure with this stoichiometry: 460 meV/atom
data_ZrAg2Ru
_cell_length_a 2.888
_cell_length_b 2.888
_cell_length_c 8.579
_cell_angle_alpha 90.00
_cell_angle_beta 90.00
_cell_angle_gamma 90.00
_symmetry_space_group_name_H-M 'P 1'
_symmetry_Int_Tables_number 1
loop_
_symmetry_equiv_pos_as_xyz
'x,y,z'
loop_
_atom_site_label
_atom_site_type_symbol
_atom_site_fract_x
_atom_site_fract_y
_atom_site_fract_z
Zr1 Zr 0.000 0.000 0.000
Ag1 Ag 0.500 0.500 0.265
Ag2 Ag 0.500 0.500 0.735
Ru1 Ru 0.000 0.000 0.500


9.
# ZrAg2Ru, relaxed, DFT PBE
# energy relative to the elements: 0.274 eV per atom
# final energy: -5.61 eV per atom
# total magnetic moment: 0.0 μB per formula unit
# SG: Fm-3m
# energy above the lowest structure with this stoichiometry: 368 meV/atom
data_ZrAg2Ru
_cell_length_a 6.581
_cell_length_b 6.581
_cell_length_c 6.581
_cell_angle_alpha 90.00
_cell_angle_beta 90.00
_cell_angle_gamma 90.00
_symmetry_space_group_name_H-M 'P 1'
_symmetry_Int_Tables_number 1
loop_
_symmetry_equiv_pos_as_xyz
'x,y,z'
loop_
_atom_site_label
_atom_site_type_symbol
_atom_site_fract_x
_atom_site_fract_y
_atom_site_fract_z
Zr1 Zr 0.000 0.000 0.000
Zr2 Zr 0.000 0.500 0.500
Zr3 Zr 0.500 0.000 0.500
Zr4 Zr 0.500 0.500 0.000
Ag1 Ag 0.250 0.250 0.250
Ag2 Ag 0.250 0.250 0.750
Ag3 Ag 0.250 0.750 0.250
Ag4 Ag 0.250 0.750 0.750
Ag5 Ag 0.750 0.250 0.250
Ag6 Ag 0.750 0.250 0.750
Ag7 Ag 0.750 0.750 0.250
Ag8 Ag 0.750 0.750 0.750
Ru1 Ru 0.000 0.000 0.500
Ru2 Ru 0.000 0.500 0.000
Ru3 Ru 0.500 0.000 0.000
Ru4 Ru 0.500 0.500 0.500


10.
# ZrAg2Ru, relaxed, DFT PBE
# energy relative to the elements: 0.017 eV per atom
# final energy: -5.86 eV per atom
# total magnetic moment: 0.0 μB per formula unit
# SG: I-4m2
# energy above the lowest structure with this stoichiometry: 111 meV/atom
data_ZrAg2Ru
_cell_length_a 4.211
_cell_length_b 4.211
_cell_length_c 7.914
_cell_angle_alpha 90.00
_cell_angle_beta 90.00
_cell_angle_gamma 90.00
_symmetry_space_group_name_H-M 'P 1'
_symmetry_Int_Tables_number 1
loop_
_symmetry_equiv_pos_as_xyz
'x,y,z'
loop_
_atom_site_label
_atom_site_type_symbol
_atom_site_fract_x
_atom_site_fract_y
_atom_site_fract_z
Zr1 Zr 0.000 0.000 0.000
Zr2 Zr 0.500 0.500 0.500
Ag1 Ag 0.000 0.000 0.500
Ag2 Ag 0.000 0.500 0.750
Ag3 Ag 0.500 0.000 0.250
Ag4 Ag 0.500 0.500 0.000
Ru1 Ru 0.000 0.500 0.250
Ru2 Ru 0.500 0.000 0.750


11.
# Zr5AgRu4, relaxed, DFT PBE
# energy relative to the elements: -0.510 eV per atom
# final energy: -8.78 eV per atom
# total magnetic moment: 0.0 μB per formula unit
# SG: P4/mmm
data_Zr5AgRu4
_cell_length_a 3.258
_cell_length_b 3.258
_cell_length_c 17.125
_cell_angle_alpha 90.00
_cell_angle_beta 90.00
_cell_angle_gamma 90.00
_symmetry_space_group_name_H-M 'P 1'
_symmetry_Int_Tables_number 1
loop_
_symmetry_equiv_pos_as_xyz
'x,y,z'
loop_
_atom_site_label
_atom_site_type_symbol
_atom_site_fract_x
_atom_site_fract_y
_atom_site_fract_z
Zr1 Zr 0.000 0.000 0.000
Zr2 Zr 0.000 0.000 0.193
Zr3 Zr 0.000 0.000 0.386
Zr4 Zr 0.000 0.000 0.614
Zr5 Zr 0.000 0.000 0.807
Ag1 Ag 0.500 0.500 0.500
Ru1 Ru 0.500 0.500 0.096
Ru2 Ru 0.500 0.500 0.290
Ru3 Ru 0.500 0.500 0.710
Ru4 Ru 0.500 0.500 0.904


12.
# Zr2AgRu, relaxed, DFT PBE
# energy relative to the elements: -0.298 eV per atom
# final energy: -7.60 eV per atom
# total magnetic moment: 0.0 μB per formula unit
# SG: Pmmm
data_Zr2AgRu
_cell_length_a 3.235
_cell_length_b 3.245
_cell_length_c 7.279
_cell_angle_alpha 90.00
_cell_angle_beta 90.00
_cell_angle_gamma 90.00
_symmetry_space_group_name_H-M 'P 1'
_symmetry_Int_Tables_number 1
loop_
_symmetry_equiv_pos_as_xyz
'x,y,z'
loop_
_atom_site_label
_atom_site_type_symbol
_atom_site_fract_x
_atom_site_fract_y
_atom_site_fract_z
Zr1 Zr 0.000 0.000 0.227
Zr2 Zr 0.000 0.000 0.773
Ag1 Ag 0.500 0.500 0.500
Ru1 Ru 0.500 0.500 0.000


13.
# ZrAg2Ru, relaxed, DFT PBE
# energy relative to the elements: -0.094 eV per atom
# final energy: -5.98 eV per atom
# total magnetic moment: 0.0 μB per formula unit
# SG: I4/mmm
# energy above the lowest structure with this stoichiometry: 0 meV/atom
data_ZrAg2Ru
_cell_length_a 3.874
_cell_length_b 3.874
_cell_length_c 9.267
_cell_angle_alpha 90.00
_cell_angle_beta 90.00
_cell_angle_gamma 90.00
_symmetry_space_group_name_H-M 'P 1'
_symmetry_Int_Tables_number 1
loop_
_symmetry_equiv_pos_as_xyz
'x,y,z'
loop_
_atom_site_label
_atom_site_type_symbol
_atom_site_fract_x
_atom_site_fract_y
_atom_site_fract_z
Zr1 Zr 0.000 0.000 0.000
Zr2 Zr 0.500 0.500 0.500
Ag1 Ag 0.000 0.500 0.250
Ag2 Ag 0.000 0.500 0.750
Ag3 Ag 0.500 0.000 0.250
Ag4 Ag 0.500 0.000 0.750
Ru1 Ru 0.000 0.000 0.500
Ru2 Ru 0.500 0.500 0.000


14.
# ZrAgRu4, relaxed, DFT PBE
# energy relative to the elements: 0.097 eV per atom
# final energy: -7.99 eV per atom
# total magnetic moment: 1.0 μB per formula unit
# SG: F-43m
data_ZrAgRu4
_cell_length_a 5.177
_cell_length_b 5.177
_cell_length_c 5.177
_cell_angle_alpha 60.00
_cell_angle_beta 60.00
_cell_angle_gamma 60.00
_symmetry_space_group_name_H-M 'P 1'
_symmetry_Int_Tables_number 1
loop_
_symmetry_equiv_pos_as_xyz
'x,y,z'
loop_
_atom_site_label
_atom_site_type_symbol
_atom_site_fract_x
_atom_site_fract_y
_atom_site_fract_z
Zr1 Zr 0.000 0.000 0.000
Ag1 Ag 0.750 0.750 0.750
Ru1 Ru 0.375 0.375 0.375
Ru2 Ru 0.375 0.375 0.874
Ru3 Ru 0.375 0.874 0.375
Ru4 Ru 0.874 0.375 0.375